1.
The following is a DFT calculation (PBE) of a relaxed structure of Pm3Sm12Cd.

symmetry	P4/mmm (123)

a b c (Å): 5.0770 5.0770 20.4866
angles (deg): 90.00 90.00 90.00
Sites, in units of the cell vectors:
Pm1 0.0000 0.0000 0.7533
Sm1 0.5000 0.5000 0.5000
Sm2 0.5000 0.5000 0.0000
Sm3 0.0000 0.5000 0.8796
Pm2 0.0000 0.0000 0.5000
Cd1 0.0000 0.0000 0.0000
Sm4 0.5000 0.0000 0.6268
Sm5 0.0000 0.5000 0.1204
Sm6 0.5000 0.5000 0.2439
Sm7 0.0000 0.5000 0.3732
Pm3 0.0000 0.0000 0.2467
Sm8 0.0000 0.5000 0.6268
Sm9 0.5000 0.0000 0.8796
Sm10 0.5000 0.0000 0.1204
Sm11 0.5000 0.0000 0.3732
Sm12 0.5000 0.5000 0.7561

=====

2.
The following is a DFT calculation (PBE) of a relaxed structure of Pm2SmCd.

symmetry	Fm-3m (225)
E above lowest polymorph	121.6	meV per atom

a b c (Å): 5.5602 5.5602 5.5602
angles (deg): 60.00 60.00 60.00
Sites, in units of the cell vectors:
Sm1 0.0000 0.0000 0.0000
Cd1 0.5000 0.5000 0.5000
Pm1 0.2500 0.2500 0.2500
Pm2 0.7500 0.7500 0.7500

=====

Respective ΔE_f values: -0.01, -0.03 eV/atom.